Record 1
This record from Alexandria via LeMat-Bulk describes a relaxed structure of VAsSe. The functional is PBE-GGA.

a = 7.1033 Å, b = 7.1033 Å, c = 7.1033 Å
α = 155.75°, β = 155.75°, γ = 34.56°
Fractional coordinates of all 3 atoms:
V 0.0000 0.0000 0.0000
As 0.6324 0.6324 0.0000
Se 0.3953 0.3953 0.0000

Values from the calculation:
Formation energy without anion corrections: -262 meV per atom
Space group: I4mm (107)
Crystal system: tetragonal

Record 2
This record from Alexandria via LeMat-Bulk describes a relaxed structure of VAsSe. The functional is PBE-GGA.

a = 6.9233 Å, b = 3.2369 Å, c = 9.1698 Å
α = 90.00°, β = 90.00°, γ = 90.00°
Fractional coordinates of all 12 atoms:
V 0.1757 0.2500 0.1848
V 0.3243 0.7500 0.6848
V 0.6757 0.2500 0.3152
V 0.8243 0.7500 0.8152
As 0.1478 0.7500 0.9639
As 0.3522 0.2500 0.4639
As 0.6478 0.7500 0.5361
As 0.8522 0.2500 0.0361
Se 0.0211 0.2500 0.6637
Se 0.4789 0.7500 0.1637
Se 0.5211 0.2500 0.8363
Se 0.9789 0.7500 0.3363

Values from the calculation:
Formation energy without anion corrections: -316 meV per atom
Space group: Pnma (62)
Crystal system: orthorhombic

Record 3
This record from Alexandria via LeMat-Bulk describes a relaxed structure of VAs3Se. The functional is PBE-GGA.

a = 4.9620 Å, b = 4.9620 Å, c = 4.9620 Å
α = 90.00°, β = 90.00°, γ = 90.00°
Fractional coordinates of all 5 atoms:
V 0.0000 0.0000 0.0000
As 0.0000 0.5000 0.5000
As 0.5000 0.0000 0.5000
As 0.5000 0.5000 0.0000
Se 0.5000 0.5000 0.5000

Values from the calculation:
Formation energy without anion corrections: 1068 meV per atom
Distance to the lowest polymorph of the same formula: 786 meV per atom
Space group: Pm-3m (221)
Crystal system: cubic